First-principles (PBE-GGA) data for a relaxed Zr2SF crystal, as listed in the Alexandria database.

## Properties
Crystal system ... tetragonal
Raw total energy ... -7.038 eV/atom
Space-group type ... I-42d, No. 122

a = 6.6341 Å, b = 6.6341 Å, c = 5.6131 Å
α = 53.78°, β = 53.78°, γ = 90.00°
Fractional coordinates of all 8 atoms:
S 0.0000 0.0000 0.0000
S 0.7500 0.2500 0.5000
Zr 0.5828 0.1250 0.2500
Zr 0.1672 0.6250 0.2500
Zr 0.3750 0.4172 0.7500
Zr 0.8750 0.8328 0.7500
F 0.5000 0.5000 0.0000
F 0.2500 0.7500 0.5000

First-principles (PBE-GGA) data for a relaxed Zr2SF crystal, as listed in the Alexandria database.

## Properties
Crystal system ... cubic
Raw total energy ... -7.132 eV/atom
Space-group type ... Fm-3m, No. 225

a = 4.4465 Å, b = 4.4465 Å, c = 4.4465 Å
α = 60.00°, β = 60.00°, γ = 60.00°
Fractional coordinates of all 4 atoms:
S 0.5000 0.5000 0.5000
Zr 0.2500 0.2500 0.2500
Zr 0.7500 0.7500 0.7500
F 0.0000 0.0000 0.0000

First-principles (PBE-GGA) data for a relaxed ZrS2F crystal, as listed in the Alexandria database.

## Properties
Crystal system ... tetragonal
Raw total energy ... -5.569 eV/atom
Space-group type ... I-42d, No. 122

a = 5.8142 Å, b = 5.8142 Å, c = 7.0997 Å
α = 65.83°, β = 65.83°, γ = 90.00°
Fractional coordinates of all 8 atoms:
S 0.6512 0.1250 0.2500
S 0.0988 0.6250 0.2500
S 0.3750 0.3488 0.7500
S 0.8750 0.9012 0.7500
Zr 0.0000 0.0000 0.0000
Zr 0.7500 0.2500 0.5000
F 0.5000 0.5000 0.0000
F 0.2500 0.7500 0.5000

First-principles (PBE-GGA) data for a relaxed ZrSF3 crystal, as listed in the Alexandria database.

## Properties
Crystal system ... cubic
Raw total energy ... -4.049 eV/atom
Space-group type ... Pm-3m, No. 221

a = 4.3687 Å, b = 4.3687 Å, c = 4.3687 Å
α = 90.00°, β = 90.00°, γ = 90.00°
Fractional coordinates of all 5 atoms:
S 0.0000 0.0000 0.0000
Zr 0.5000 0.5000 0.5000
F 0.0000 0.5000 0.0000
F 0.0000 0.0000 0.5000
F 0.5000 0.0000 0.0000

First-principles (PBE-GGA) data for a relaxed SbF crystal, as listed in the Alexandria database.

## Properties
Crystal system ... triclinic
Raw total energy ... -4.349 eV/atom
Space-group type ... P-1, No. 2

a = 3.1103 Å, b = 6.2931 Å, c = 7.7035 Å
α = 34.82°, β = 89.13°, γ = 59.67°
Fractional coordinates of all 2 atoms:
Sb 0.2190 0.6508 0.3710
F 0.2193 0.6506 0.8711

First-principles (PBE-GGA) data for a relaxed SbF3 crystal, as listed in the Alexandria database.

## Properties
Crystal system ... orthorhombic
Raw total energy ... -4.781 eV/atom
Space-group type ... Imm2, No. 44

a = 4.0976 Å, b = 5.0756 Å, c = 4.6719 Å
α = 122.90°, β = 116.01°, γ = 90.00°
Fractional coordinates of all 4 atoms:
Sb 0.0000 0.1302 0.0000
F 0.2187 0.6065 0.4374
F 0.5000 0.2608 0.0000
F 0.7813 0.1692 0.5626

First-principles (PBE-GGA) data for a relaxed SbF crystal, as listed in the Alexandria database.

## Properties
Crystal system ... cubic
Raw total energy ... -3.765 eV/atom
Space-group type ... I-43m, No. 217

a = 7.3741 Å, b = 7.3741 Å, c = 7.3741 Å
α = 90.00°, β = 90.00°, γ = 90.00°
Fractional coordinates of all 16 atoms:
Sb 0.2816 0.2816 0.2816
Sb 0.2816 0.7184 0.7184
Sb 0.7184 0.2816 0.7184
Sb 0.7184 0.7184 0.2816
Sb 0.7816 0.7816 0.7816
Sb 0.7816 0.2184 0.2184
Sb 0.2184 0.7816 0.2184
Sb 0.2184 0.2184 0.7816
F 0.1209 0.1209 0.1209
F 0.1209 0.8791 0.8791
F 0.8791 0.1209 0.8791
F 0.8791 0.8791 0.1209
F 0.6209 0.6209 0.6209
F 0.6209 0.3791 0.3791
F 0.3791 0.6209 0.3791
F 0.3791 0.3791 0.6209

First-principles (PBE-GGA) data for a relaxed Sb11F43 crystal, as listed in the Alexandria database.

## Properties
Crystal system ... monoclinic
Raw total energy ... -4.656 eV/atom
Space-group type ... P2_1/c, No. 14

a = 9.2926 Å, b = 11.7616 Å, c = 16.9444 Å
α = 73.57°, β = 90.00°, γ = 90.00°
Fractional coordinates of all 108 atoms:
Sb 0.3308 0.0690 0.7328
Sb 0.8308 0.9310 0.7672
Sb 0.6692 0.9310 0.2672
Sb 0.1692 0.0690 0.2328
Sb 0.2335 0.3380 0.8473
Sb 0.7335 0.6620 0.6527
Sb 0.7665 0.6620 0.1527
Sb 0.2665 0.3380 0.3473
Sb 0.4866 0.8433 0.9611
Sb 0.9866 0.1567 0.5389
Sb 0.5134 0.1567 0.0389
Sb 0.0134 0.8433 0.4611
Sb 0.0000 0.0000 0.0000
Sb 0.5000 0.0000 0.5000
Sb 0.2493 0.7233 0.7526
Sb 0.7493 0.2767 0.7474
Sb 0.7507 0.2767 0.2474
Sb 0.2507 0.7233 0.2526
Sb 0.7404 0.5651 0.9231
Sb 0.2404 0.4349 0.5769
Sb 0.2596 0.4349 0.0769
Sb 0.7596 0.5651 0.4231
F 0.1341 0.0281 0.7679
F 0.6341 0.9719 0.7321
F 0.8659 0.9719 0.2321
F 0.3659 0.0281 0.2679
F 0.3916 0.9738 0.8500
F 0.8916 0.0262 0.6500
F 0.6084 0.0262 0.1500
F 0.1084 0.9738 0.3500
F 0.2843 0.2067 0.7930
F 0.7843 0.7933 0.7070
F 0.7157 0.7933 0.2070
F 0.2157 0.2067 0.2930
F 0.4167 0.4087 0.8151
F 0.9167 0.5913 0.6849
F 0.5833 0.5913 0.1849
F 0.0833 0.4087 0.3151
F 0.6431 0.7776 0.0563
F 0.1431 0.2224 0.4437
F 0.3569 0.2224 0.9437
F 0.8569 0.7776 0.5563
F 0.1581 0.0963 0.6015
F 0.6581 0.9037 0.8985
F 0.8419 0.9037 0.3985
F 0.3419 0.0963 0.1015
F 0.5000 0.0000 0.0000
F 0.0000 0.0000 0.5000
F 0.9604 0.9305 0.9127
F 0.4604 0.0695 0.5873
F 0.0396 0.0695 0.0873
F 0.5396 0.9305 0.4127
F 0.8062 0.0575 0.9965
F 0.3062 0.9425 0.5035
F 0.1938 0.9425 0.0035
F 0.6938 0.0575 0.4965
F 0.0576 0.1471 0.9219
F 0.5576 0.8529 0.5781
F 0.9424 0.8529 0.0781
F 0.4424 0.1471 0.4219
F 0.3268 0.8874 0.7119
F 0.8268 0.1126 0.7881
F 0.6732 0.1126 0.2881
F 0.1732 0.8874 0.2119
F 0.1743 0.5662 0.7984
F 0.6743 0.4338 0.7016
F 0.8257 0.4338 0.2016
F 0.3257 0.5662 0.2984
F 0.2951 0.7335 0.8607
F 0.7951 0.2665 0.6393
F 0.7049 0.2665 0.1393
F 0.2049 0.7335 0.3607
F 0.4382 0.6689 0.7398
F 0.9382 0.3311 0.7602
F 0.5618 0.3311 0.2602
F 0.0618 0.6689 0.2398
F 0.2040 0.7286 0.6422
F 0.7040 0.2714 0.8578
F 0.7960 0.2714 0.3578
F 0.2960 0.7286 0.1422
F 0.5654 0.2075 0.7393
F 0.0654 0.7925 0.7607
F 0.4346 0.7925 0.2607
F 0.9346 0.2075 0.2393
F 0.2346 0.4318 0.9635
F 0.7346 0.5682 0.5365
F 0.7654 0.5682 0.0365
F 0.2654 0.4318 0.4635
F 0.6105 0.4365 0.9575
F 0.1105 0.5635 0.5425
F 0.3895 0.5635 0.0425
F 0.8895 0.4365 0.4575
F 0.5790 0.6760 0.9172
F 0.0790 0.3240 0.5828
F 0.4210 0.3240 0.0828
F 0.9210 0.6760 0.4172
F 0.2046 0.4254 0.6912
F 0.7046 0.5746 0.8088
F 0.7954 0.5746 0.3088
F 0.2954 0.4254 0.1912
F 0.8581 0.7038 0.8881
F 0.3581 0.2962 0.6119
F 0.1419 0.2962 0.1119
F 0.6419 0.7038 0.3881
F 0.9004 0.4635 0.9294
F 0.4004 0.5365 0.5706
F 0.0996 0.5365 0.0706
F 0.5996 0.4635 0.4294